An optimized crystal structure of BaMg2Cr. Source: Alexandria, functional PBE.

For the total magnetization, the calculation gives 9.53 μB/cell. Its formation energy is 1.33 eV/f.u. The crystal system is monoclinic. The value obtained for the calculated volume is 261.40 Å³/cell.

It has space group C2/m (No. 12), with a = 8.643 Å, b = 5.002 Å, c = 6.707 Å, α = 90.00°, β = 115.64° and γ = 90.00°. The asymmetric unit holds Ba at (0.000, 0.000, 0.000), Mg at (0.198, 0.000, 0.593) and Cr at (0.000, 0.500, 0.500).

An optimized crystal structure of KZrW. Source: Alexandria, functional PBE.

For the total magnetization, the calculation gives 0.00 μB/cell. Its formation energy is 2.60 eV/f.u. The crystal system is orthorhombic. The value obtained for the calculated volume is 291.90 Å³/cell.

It has space group Fmm2 (No. 42), with a = 3.376 Å, b = 4.939 Å, c = 17.506 Å, α = 90.00°, β = 90.00° and γ = 90.00°. The asymmetric unit holds K at (0.000, 0.000, 0.000), Zr at (0.000, 0.000, 0.703) and W at (0.000, 0.000, 0.326).